A plane-wave DFT calculation with PBE-GGA was carried out for a relaxed structure of BaNi2Cl.

```
BaNi2Cl
1.0
4.1012 -0.0067 -0.2232
2.0341 3.5613 -0.2232
0.4421 0.2561 6.8212
Cl Ni Ba
1 2 1
Cartesian
0.8919 0.5167 1.5469 Cl
5.2200 3.0242 5.4092 Ni
1.1442 0.6629 6.0115 Ni
3.0522 1.7683 3.4159 Ba
```

Results
Calculated density, g/cm³: 4.81
Energy relative to the elements, uncorrected, eV per atom: -0.2846
Relative energy among the computed polymorphs, kJ/mol of atoms: 0.00
Total magnetization, μB/f.u.: 1.03



A plane-wave DFT calculation with PBE-GGA was carried out for a relaxed structure of LaTlIn2.

```
LaTlIn2
1.0
11.0880 0.0221 0.0130
10.5201 3.5030 0.0130
10.5201 1.7162 3.0538
In Tl La
2 1 1
Cartesian
0.0807 0.0132 0.0077 In
15.9834 2.6075 1.5322 In
24.0961 3.9310 2.3098 Tl
8.0320 1.3103 0.7699 La
```

Results
Calculated density, g/cm³: 8.10
DFT formation energy, meV/atom: -116
Total magnetization, μB/f.u.: 0.00